(1)
Below is Ce2NdBi after structural relaxation, with properties calculated at the PBE level.

```
Ce2NdBi
1.0
4.300 0.000 0.000
0.000 4.300 0.000
0.000 0.000 6.879
Nd Bi Ce
1 1 2
direct
0.500 0.500 0.000
0.500 0.500 0.500
0.000 0.000 0.697
0.000 0.000 0.303
```

Properties
Raw total energy   -5.47 eV/atom
E_form   -0.339 eV/atom
Relative energy among the computed polymorphs   120 meV/atom

***

(2)
Below is Ce2NdBi after structural relaxation, with properties calculated at the PBE level.

```
Ce2NdBi
1.0
5.136 0.000 0.000
0.000 4.770 0.000
0.000 0.000 4.770
Nd Bi Ce
1 1 2
direct
0.500 0.500 0.500
0.500 0.000 0.000
0.000 0.000 0.500
0.000 0.500 0.000
```

Properties
Raw total energy   -5.51 eV/atom
E_form   -0.383 eV/atom
Relative energy among the computed polymorphs   75 meV/atom

***

(3)
Below is Ce5NdBi6 after structural relaxation, with properties calculated at the PBE level.

```
Ce5NdBi6
1.0
0.307 -0.648 7.932
-3.957 -6.535 2.293
3.831 -6.970 0.620
Nd Bi Ce
1 6 5
direct
0.000 0.000 0.000
0.749 0.084 0.335
0.251 0.582 0.335
0.251 0.251 0.000
0.749 0.749 0.000
0.749 0.418 0.665
0.251 0.916 0.665
0.500 0.166 0.667
0.000 0.333 0.333
0.500 0.500 0.000
0.000 0.667 0.667
0.500 0.834 0.333
```

Properties
Raw total energy   -5.63 eV/atom
E_form   -0.817 eV/atom

***

(4)
Below is CeNd2Bi after structural relaxation, with properties calculated at the PBE level.

```
CeNd2Bi
1.0
4.119 0.000 0.000
0.000 4.119 0.000
0.000 0.000 7.423
Nd Bi Ce
2 1 1
direct
0.000 0.000 0.771
0.000 0.000 0.229
0.500 0.500 0.000
0.500 0.500 0.500
```

Properties
Raw total energy   -5.17 eV/atom
E_form   -0.330 eV/atom
Relative energy among the computed polymorphs   60 meV/atom

***

(5)
Below is Ce2NdBi after structural relaxation, with properties calculated at the PBE level.

```
Ce2NdBi
1.0
-0.432 2.142 -4.012
-2.592 -3.283 -1.474
-9.266 4.659 5.917
Ce Nd Bi
4 2 2
direct
0.602 0.250 0.110
0.398 0.750 0.890
0.994 0.750 0.113
0.006 0.250 0.887
0.699 0.750 0.389
0.301 0.250 0.611
0.176 0.250 0.329
0.824 0.750 0.671
```

Properties
Raw total energy   -5.59 eV/atom
E_form   -0.459 eV/atom
Relative energy among the computed polymorphs   0 meV/atom

***

(6)
Below is Ce2NdBi2 after structural relaxation, with properties calculated at the PBE level.

```
Ce2NdBi2
1.0
-0.644 7.580 -4.311
3.332 -3.780 -7.145
-7.513 -2.023 -2.433
Ce Nd Bi
8 4 8
direct
0.393 0.893 0.250
0.607 0.107 0.250
0.107 0.393 0.750
0.893 0.607 0.750
0.893 0.607 0.250
0.107 0.393 0.250
0.393 0.893 0.750
0.607 0.107 0.750
0.500 0.500 0.250
0.000 0.000 0.750
0.500 0.500 0.750
0.000 0.000 0.250
0.688 0.812 0.500
0.312 0.188 0.500
0.812 0.312 0.000
0.188 0.688 0.000
0.812 0.312 0.500
0.188 0.688 0.500
0.312 0.188 0.000
0.688 0.812 0.000
```

Properties
Raw total energy   -5.36 eV/atom
E_form   -0.484 eV/atom

***

(7)
Below is Ce2NdBi after structural relaxation, with properties calculated at the PBE level.

```
Ce2NdBi
1.0
5.557 0.000 0.000
2.779 4.813 0.000
2.779 1.604 4.538
Nd Bi Ce
1 1 2
direct
0.500 0.500 0.500
0.000 0.000 0.000
0.250 0.250 0.250
0.750 0.750 0.750
```

Properties
Raw total energy   -5.27 eV/atom
E_form   -0.139 eV/atom
Relative energy among the computed polymorphs   320 meV/atom

***

(8)
Below is CeNdBi after structural relaxation, with properties calculated at the PBE level.

```
CeNdBi
1.0
-1.461 -4.272 -4.403
6.133 -1.106 -0.962
-0.120 -4.499 4.405
Ce Nd Bi
2 2 2
direct
0.000 0.500 0.504
0.500 0.000 0.496
0.500 0.500 0.000
0.000 0.000 0.000
0.500 0.000 0.995
0.000 0.500 0.005
```

Properties
Raw total energy   -4.96 eV/atom
E_form   -0.095 eV/atom

***

(9)
Below is CeNdBi after structural relaxation, with properties calculated at the PBE level.

```
CeNdBi
1.0
-3.417 1.817 -1.736
-1.997 -3.742 0.015
0.849 1.973 5.573
Nd Bi Ce
1 1 1
direct
0.632 0.632 0.265
0.283 0.283 0.565
0.935 0.935 0.870
```

Properties
Raw total energy   -5.30 eV/atom
E_form   -0.438 eV/atom

***

(10)
Below is CeNdBi6 after structural relaxation, with properties calculated at the PBE level.

```
CeNdBi6
1.0
4.643 0.000 -0.798
0.000 4.650 0.000
-0.337 0.000 11.953
Ce Nd Bi
1 1 6
direct
0.175 0.500 0.349
0.824 0.000 0.648
0.564 0.500 0.128
0.443 0.000 0.886
0.312 0.500 0.625
0.686 0.000 0.371
0.932 0.500 0.864
0.064 0.000 0.128
```

Properties
Raw total energy   -4.62 eV/atom
E_form   -0.368 eV/atom

***

(11)
Below is Ce4NdBi5 after structural relaxation, with properties calculated at the PBE level.

```
Ce4NdBi5
1.0
4.521 0.000 -0.872
-0.336 6.266 -1.739
0.006 -0.001 12.185
Ce Nd Bi
4 1 5
direct
0.400 0.400 0.801
0.800 0.800 0.600
0.200 0.200 0.400
0.600 0.600 0.199
0.000 0.000 0.000
0.601 0.101 0.201
0.800 0.300 0.600
0.200 0.700 0.400
0.000 0.500 0.000
0.399 0.899 0.799
```

Properties
Raw total energy   -5.62 eV/atom
E_form   -0.824 eV/atom

***

(12)
Below is Ce4NdBi3 after structural relaxation, with properties calculated at the PBE level.

```
Ce4NdBi3
1.0
4.751 0.000 0.000
0.000 10.127 -0.675
-2.376 -7.447 5.827
Ce Nd Bi
4 1 3
direct
0.144 0.875 0.288
0.856 0.125 0.712
0.638 0.428 0.276
0.362 0.572 0.724
0.000 0.000 0.000
0.314 0.834 0.628
0.686 0.166 0.372
0.500 0.500 0.000
```

Properties
Raw total energy   -5.54 eV/atom
E_form   -0.526 eV/atom

***

(13)
Below is CeNd2Bi3 after structural relaxation, with properties calculated at the PBE level.

```
CeNd2Bi3
1.0
4.599 0.000 0.000
0.000 6.508 0.000
-2.299 -3.254 6.918
Ce Nd Bi
1 2 3
direct
0.000 0.500 0.000
0.667 0.167 0.334
0.333 0.833 0.666
0.335 0.335 0.670
0.000 0.000 0.000
0.665 0.665 0.330
```

Properties
Raw total energy   -5.42 eV/atom
E_form   -0.900 eV/atom

***

(14)
Below is Ce2NdBi4 after structural relaxation, with properties calculated at the PBE level.

```
Ce2NdBi4
1.0
7.838 0.000 -2.773
-3.920 6.788 -2.771
0.001 0.000 8.314
Nd Bi Ce
2 8 4
direct
0.000 0.000 0.000
0.750 0.500 0.250
0.129 0.911 0.379
0.621 0.750 0.532
0.969 0.589 0.718
0.282 0.250 0.871
0.621 0.750 0.031
0.781 0.250 0.871
0.468 0.089 0.219
0.129 0.411 0.379
0.875 0.123 0.498
0.502 0.377 0.625
0.375 0.877 0.752
0.248 0.623 0.125
```

Properties
Raw total energy   -5.31 eV/atom
E_form   -0.717 eV/atom

***

(15)
Below is CeNdBi after structural relaxation, with properties calculated at the PBE level.

```
CeNdBi
1.0
-2.464 -0.780 -2.754
-3.347 -2.277 3.639
-0.415 5.308 -1.132
Nd Bi Ce
1 1 1
direct
0.605 0.667 0.333
0.347 0.333 0.667
0.048 0.000 0.000
```

Properties
Raw total energy   -5.09 eV/atom
E_form   -0.232 eV/atom

***

(16)
Below is CeNd2Bi2O2 after structural relaxation, with properties calculated at the PBE level.

```
CeNd2Bi2O2
1.0
-3.263 -0.853 2.958
2.972 0.251 3.351
-1.379 8.648 -2.428
Ce Nd Bi O
1 2 2 2
direct
0.000 0.000 0.000
0.383 0.383 0.766
0.617 0.617 0.234
0.189 0.189 0.378
0.811 0.811 0.622
0.000 0.500 0.000
0.500 0.000 0.000
```

Properties
Raw total energy   -6.52 eV/atom
Energy relative to the elements, uncorrected   -1.79 eV per atom

***

(17)
Below is CeNdBiPb after structural relaxation, with properties calculated at the PBE level.

```
CeNdBiPb
1.0
-5.522 -0.803 -0.350
-2.046 -3.892 -3.455
-2.285 -4.661 2.078
Pb Nd Bi Ce
1 1 1 1
direct
0.250 0.250 0.250
0.000 0.000 0.000
0.750 0.750 0.750
0.500 0.500 0.500
```

Properties
Raw total energy   -5.07 eV/atom
E_form   -0.499 eV/atom

***

(18)
Below is CePmNdBi after structural relaxation, with properties calculated at the PBE level.

```
CePmNdBi
1.0
5.578 0.000 0.000
2.789 4.830 0.000
2.789 1.610 4.554
Nd Bi Ce Pm
1 1 1 1
direct
0.250 0.250 0.250
0.500 0.500 0.500
0.000 0.000 0.000
0.750 0.750 0.750
```

Properties
Raw total energy   -5.00 eV/atom
E_form   -0.163 eV/atom

***

(19)
Below is CePm2NdBi5 after structural relaxation, with properties calculated at the PBE level.

```
CePm2NdBi5
1.0
-5.420 -0.084 -1.241
0.079 -5.560 0.031
-2.700 0.028 11.795
Ce Pm Nd Bi
1 2 1 5
direct
0.000 0.000 0.000
0.500 0.500 0.275
0.500 0.500 0.725
0.000 0.000 0.500
0.000 0.500 0.500
0.500 0.000 0.500
0.000 0.000 0.755
0.000 0.000 0.245
0.500 0.500 0.000
```

Properties
Raw total energy   -4.40 eV/atom
E_form   -0.002 eV/atom

***

(20)
Below is CePmNd2Bi5 after structural relaxation, with properties calculated at the PBE level.

```
CePmNd2Bi5
1.0
5.558 0.000 0.000
0.000 5.558 0.000
0.000 0.000 12.048
Ce Pm Nd Bi
1 1 2 5
direct
0.000 0.000 0.500
0.000 0.000 0.000
0.500 0.500 0.273
0.500 0.500 0.727
0.000 0.500 0.500
0.500 0.000 0.500
0.000 0.000 0.752
0.000 0.000 0.248
0.500 0.500 0.000
```

Properties
Raw total energy   -4.49 eV/atom
E_form   -0.089 eV/atom